Density functional theory data (PBE) for a relaxed structure of In2CuSe4.

Results
For the formation energy (no corrections), the calculation gives -0.349 eV per atom. As for the volume: 25.679 A^3/atom. As for the density: 5.626 Mg/m³. Its total energy is -3.708 eV per atom.

a b c (Å): 6.7498 6.7498 7.2158
angles (deg): 99.28 99.28 33.69
Element x y z (fractional)
In  0.1857  0.1857  0.1615
In  0.8143  0.8143  0.8385
Cu  0.5000  0.5000  0.5000
Se  0.1202  0.1202  0.4816
Se  0.3826  0.3826  0.0813
Se  0.6174  0.6174  0.9187
Se  0.8798  0.8798  0.5184